[1]
{
  "formula": "NiH2Br",
  "functional": "GGA-PBEsol",
  "state": "optimized geometry",
  "dft_energy_ev_per_cell": -26.22,
  "dos_at_fermi_per_ev_cell": 3.89,
  "lattice_angstrom": [[5.030, 0.000, 0.000], [2.515, 4.356, 0.000], [2.515, 1.452, 4.107]],
  "species": ["H", "H", "H", "H", "Ni", "Ni", "Br", "Br"],
  "frac_coords": [[0.125, 0.125, 0.625], [0.125, 0.625, 0.125], [0.125, 0.125, 0.125], [0.625, 0.125, 0.125], [0.000, 0.000, 0.000], [0.250, 0.250, 0.250], [0.500, 0.500, 0.500], [0.750, 0.750, 0.750]]
}

[2]
{
  "formula": "YNiH2Br",
  "functional": "GGA-PBEsol",
  "state": "optimized geometry",
  "dft_energy_ev_per_cell": -22.25,
  "dos_at_fermi_per_ev_cell": 1.39,
  "lattice_angstrom": [[-2.079, 1.310, -2.894], [-1.771, -3.349, -0.243], [-3.212, 1.482, 2.978]],
  "species": ["Y", "H", "H", "Ni", "Br"],
  "frac_coords": [[0.500, 0.500, 0.500], [0.000, 0.500, 0.000], [0.500, 0.000, 0.000], [0.000, 0.000, 0.000], [0.000, 0.000, 0.500]]
}

> Which formula does entry 2 have?

YNiH2Br

Copy entry 1 word for word.
{
  "formula": "NiH2Br",
  "functional": "GGA-PBEsol",
  "state": "optimized geometry",
  "dft_energy_ev_per_cell": -26.22,
  "dos_at_fermi_per_ev_cell": 3.89,
  "lattice_angstrom": [[5.030, 0.000, 0.000], [2.515, 4.356, 0.000], [2.515, 1.452, 4.107]],
  "species": ["H", "H", "H", "H", "Ni", "Ni", "Br", "Br"],
  "frac_coords": [[0.125, 0.125, 0.625], [0.125, 0.625, 0.125], [0.125, 0.125, 0.125], [0.625, 0.125, 0.125], [0.000, 0.000, 0.000], [0.250, 0.250, 0.250], [0.500, 0.500, 0.500], [0.750, 0.750, 0.750]]
}